# 1
The following is a GGA-PBE calculation of a relaxed Hf7Co2Hg2 crystal, from Alexandria via LeMat-Bulk.

```
data_Hf7Co2Hg2
_chemical_formula_sum 'Hf14 Co4 Hg4'
_symmetry_space_group_name_H-M 'C m m m'
_symmetry_Int_Tables_number 65
_symmetry_space_group_name_Hall '-C 2 2'
_cell_length_a 7.521
_cell_length_b 9.975
_cell_length_c 6.338
_cell_angle_alpha 90.00
_cell_angle_beta 90.00
_cell_angle_gamma 90.00
loop_
_atom_site_label
_atom_site_fract_x
_atom_site_fract_y
_atom_site_fract_z
_atom_site_occupancy
Hf1 0.000 0.000 0.000 1
Hf2 0.000 0.500 0.238 1
Hf3 0.250 0.250 0.243 1
Co1 0.000 0.288 0.000 1
Hg1 0.182 0.000 0.500 1
```

# 2
The following is a GGA-PBE calculation of a relaxed HfCo2Hg crystal, from Alexandria via LeMat-Bulk.

```
data_HfCo2Hg
_chemical_formula_sum 'Hf4 Co8 Hg4'
_symmetry_space_group_name_H-M 'I -4 2 d'
_symmetry_Int_Tables_number 122
_symmetry_space_group_name_Hall 'I -4 2bw'
_cell_length_a 6.839
_cell_length_b 6.839
_cell_length_c 5.702
_cell_angle_alpha 90.00
_cell_angle_beta 90.00
_cell_angle_gamma 90.00
loop_
_atom_site_label
_atom_site_fract_x
_atom_site_fract_y
_atom_site_fract_z
_atom_site_occupancy
Hf1 0.000 0.000 0.000 1
Co1 0.236 0.250 0.125 1
Hg1 0.000 0.000 0.500 1
```

# 3
# HfCo3Hg, relaxed, DFT GGA-PBE
data_HfCo3Hg
_chemical_formula_sum 'Hf1 Co3 Hg1'
_symmetry_space_group_name_H-M 'P m -3 m'
_symmetry_Int_Tables_number 221
_symmetry_space_group_name_Hall '-P 4 2 3'
_cell_length_a 4.649
_cell_length_b 4.649
_cell_length_c 4.649
_cell_angle_alpha 90.00
_cell_angle_beta 90.00
_cell_angle_gamma 90.00
loop_
_atom_site_label
_atom_site_fract_x
_atom_site_fract_y
_atom_site_fract_z
_atom_site_occupancy
Hf1 0.000 0.000 0.000 1
Co1 0.000 0.500 0.500 1
Hg1 0.500 0.500 0.500 1
# Energy relative to the lowest polymorph listed for this composition = 191 meV per atom

One value per record, in order, for formation energy from the elements: 6.6, 41.1, 142.3 kJ/mol of atoms.